A plane-wave DFT calculation with PBE was carried out for a relaxed CePu3Th2As6 crystal.

## Properties
magnetic moment: 16.9 μB/cell
electronic total energy: -8.88 eV/atom
ΔH_f (0 K): -1.24 eV per atom

Cell lengths 4.2177, 8.3787, 9.3775 Å; angles 102.34, 103.00, 90.00 degrees
Closest atoms and distances in Å follow each position.
Element x y z (fractional)
Th 0.1661 0.3323 0.3322  6 As 2.99-3.01
Pu 0.8336 0.1662 0.6672  6 As 2.94-2.96
Ce 0.5000 0.0000 0.0000  6 As 2.99
Pu 0.5000 0.5000 0.0000  6 As 2.95
As 0.6677 0.0793 0.3355  3 Pu 2.94-2.96, 1 Ce 2.99, 2 Th 2.99
As 0.6653 0.5873 0.3307  3 Pu 2.95, 3 Th 3.00-3.01
As 0.9985 0.2524 0.9969  3 Pu 2.94-2.95, 1 Th 2.99, 2 Ce 2.99
Pu 0.1664 0.8338 0.3328  6 As 2.94-2.96
As 0.3347 0.4127 0.6693  3 Pu 2.95, 3 Th 3.00-3.01
As 0.0015 0.7476 0.0031  3 Pu 2.94-2.95, 1 Th 2.99, 2 Ce 2.99
Th 0.8339 0.6677 0.6678  6 As 2.99-3.01
As 0.3323 0.9207 0.6645  3 Pu 2.94-2.96, 1 Ce 2.99, 2 Th 2.99


A plane-wave DFT calculation with PBE was carried out for a relaxed Ce3PuTh4As8 crystal.

## Properties
magnetic moment: 7.8 μB/cell
electronic total energy: -7.57 eV/atom
ΔH_f (0 K): -1.38 eV per atom

Cell lengths 8.4685, 8.4680, 8.4690 Å; angles 120.00, 120.00, 90.00 degrees
Closest atoms and distances in Å follow each position.
Element x y z (fractional)
Ce 0.5000 0.5000 0.5000  6 As 2.98-2.99
Th 0.5000 0.0000 0.0000  6 As 3.01
As 0.7515 0.2530 0.5030  1 Pu 2.98, 2 Ce 2.98, 3 Th 3.00-3.01
Ce 0.5000 0.5000 0.0000  6 As 2.99
Th 0.0000 0.0000 0.0000  6 As 3.00
Ce 0.0000 0.5000 0.5000  6 As 2.98-2.99
As 0.7515 0.2530 0.0015  1 Pu 2.98, 2 Ce 2.99, 3 Th 3.00-3.01
As 0.7500 0.7470 0.9985  1 Pu 2.98, 2 Ce 2.99, 3 Th 3.00-3.01
Pu 0.0000 0.5000 0.0000  6 As 2.98
As 0.2485 0.7470 0.4970  1 Pu 2.98, 2 Ce 2.98, 3 Th 3.00-3.01
As 0.2500 0.2530 0.0015  1 Pu 2.98, 2 Ce 2.99, 3 Th 3.00-3.01
As 0.7493 0.7477 0.4985  3 Ce 2.98-2.99, 3 Th 3.00
As 0.2485 0.7470 0.9985  1 Pu 2.98, 2 Ce 2.99, 3 Th 3.00-3.01
As 0.2507 0.2523 0.5015  3 Ce 2.98-2.99, 3 Th 3.00
Th 0.0000 0.0000 0.5000  6 As 3.00
Th 0.5000 0.0000 0.5000  6 As 3.00


A plane-wave DFT calculation with PBE was carried out for a relaxed Ce3Pu2ThAs6 crystal.

## Properties
magnetic moment: 12.8 μB/cell
electronic total energy: -8.12 eV/atom
ΔH_f (0 K): -1.30 eV per atom

Cell lengths 7.2842, 7.2842, 7.2851 Å; angles 99.60, 99.60, 120.00 degrees
Closest atoms and distances in Å follow each position.
Element x y z (fractional)
As 0.5805 0.9171 0.7515  2 Pu 2.96, 3 Ce 2.96-2.99, 1 Th 2.99
Ce 0.5000 0.5000 0.5000  6 As 2.96-2.99
As 0.4195 0.0829 0.2485  2 Pu 2.96, 3 Ce 2.96-2.99, 1 Th 2.99
As 0.2541 0.2541 0.7520  2 Pu 2.96, 3 Ce 2.96-2.99, 1 Th 2.99
Pu 0.3332 0.6668 0.0000  6 As 2.96
As 0.9171 0.5805 0.7515  2 Pu 2.96, 3 Ce 2.96-2.99, 1 Th 2.99
As 0.7459 0.7459 0.2480  2 Pu 2.96, 3 Ce 2.96-2.99, 1 Th 2.99
Pu 0.6668 0.3332 0.0000  6 As 2.96
Ce 0.8339 0.1661 0.5000  6 As 2.96-2.99
As 0.0829 0.4195 0.2485  2 Pu 2.96, 3 Ce 2.96-2.99, 1 Th 2.99
Ce 0.1661 0.8339 0.5000  6 As 2.96-2.99
Th 0.0000 0.0000 0.0000  6 As 2.99


A plane-wave DFT calculation with PBE was carried out for a relaxed Ce2Tm3PuAs6 crystal.

## Properties
magnetic moment: 6.5 μB/cell
electronic total energy: -7.02 eV/atom
ΔH_f (0 K): -1.40 eV per atom

Cell lengths 4.1354, 8.2408, 9.2261 Å; angles 102.81, 102.95, 90.00 degrees
Closest atoms and distances in Å follow each position.
Element x y z (fractional)
As 0.6653 0.5875 0.3307  3 Tm 2.89-2.90, 3 Ce 2.95-2.96
Ce 0.8344 0.6684 0.6688  6 As 2.94-2.96
As 0.6679 0.0787 0.3358  3 Tm 2.89-2.90, 1 Pu 2.94, 2 Ce 2.94
As 0.3321 0.9213 0.6642  3 Tm 2.89-2.90, 1 Pu 2.94, 2 Ce 2.94
Pu 0.5000 0.0000 0.0000  6 As 2.93-2.94
As 0.3347 0.4125 0.6693  3 Tm 2.89-2.90, 3 Ce 2.95-2.96
Tm 0.8332 0.1662 0.6665  6 As 2.89-2.90
As 0.9980 0.2515 0.9959  3 Tm 2.89-2.90, 2 Pu 2.93, 1 Ce 2.94
Ce 0.1656 0.3316 0.3312  6 As 2.94-2.96
Tm 0.1668 0.8338 0.3335  6 As 2.89-2.90
Tm 0.5000 0.5000 0.0000  6 As 2.90
As 0.0020 0.7485 0.0041  3 Tm 2.89-2.90, 2 Pu 2.93, 1 Ce 2.94


A plane-wave DFT calculation with PBE was carried out for a relaxed Ce2TmPuAs4 crystal.

## Properties
magnetic moment: 6.6 μB/cell
electronic total energy: -7.50 eV/atom
ΔH_f (0 K): -1.34 eV per atom

Cell lengths 4.1681, 7.2144, 7.1840 Å; angles 109.58, 90.00, 90.00 degrees
Closest atoms and distances in Å follow each position.
Element x y z (fractional)
As 0.0000 0.2544 0.7561  2 Tm 2.91, 1 Pu 2.93, 3 Ce 2.95-2.97
As 0.5000 0.7498 0.7557  1 Tm 2.91, 2 Pu 2.93, 3 Ce 2.96-2.98
Ce 0.5000 0.0000 0.5000  6 As 2.97-2.98
As 0.0000 0.7456 0.2439  2 Tm 2.91, 1 Pu 2.93, 3 Ce 2.95-2.97
Tm 0.5000 0.5000 0.0000  6 As 2.91
Ce 0.0000 0.5000 0.5000  6 As 2.95-2.96
As 0.5000 0.2502 0.2443  1 Tm 2.91, 2 Pu 2.93, 3 Ce 2.96-2.98
Pu 0.0000 0.0000 0.0000  6 As 2.93


A plane-wave DFT calculation with PBE was carried out for a relaxed Ce2Pu3UAs6 crystal.

## Properties
magnetic moment: 8.2 μB/cell
electronic total energy: -8.93 eV/atom
ΔH_f (0 K): -1.10 eV per atom

Cell lengths 4.1475, 8.3239, 9.2801 Å; angles 102.45, 102.91, 90.00 degrees
Closest atoms and distances in Å follow each position.
Element x y z (fractional)
As 0.9988 0.2441 0.9977  2 U 2.91, 3 Pu 2.94-2.97, 1 Ce 2.96
As 0.3336 0.4136 0.6672  3 Pu 2.93-2.94, 3 Ce 2.95
Pu 0.8322 0.1648 0.6643  6 As 2.91-2.95
U 0.5000 0.0000 0.0000  6 As 2.91
As 0.6664 0.5864 0.3328  3 Pu 2.93-2.94, 3 Ce 2.95
As 0.0012 0.7559 0.0023  2 U 2.91, 3 Pu 2.94-2.97, 1 Ce 2.96
Pu 0.5000 0.5000 0.0000  6 As 2.94-2.97
Ce 0.1664 0.3340 0.3327  6 As 2.95-2.96
As 0.6649 0.0795 0.3297  1 U 2.91, 3 Pu 2.91-2.95, 2 Ce 2.96
Ce 0.8336 0.6660 0.6673  6 As 2.95-2.96
As 0.3351 0.9205 0.6703  1 U 2.91, 3 Pu 2.91-2.95, 2 Ce 2.96
Pu 0.1678 0.8352 0.3357  6 As 2.91-2.95


A plane-wave DFT calculation with PBE was carried out for a relaxed Ce3PuU2As6 crystal.

## Properties
magnetic moment: 12.4 μB/cell
electronic total energy: -8.01 eV/atom
ΔH_f (0 K): -1.12 eV per atom

Cell lengths 7.1862, 7.1862, 7.2508 Å; angles 99.49, 99.49, 120.02 degrees
Closest atoms and distances in Å follow each position.
Element x y z (fractional)
As 0.4176 0.0809 0.2422  2 U 2.90, 1 Pu 2.93, 3 Ce 2.97-2.99
Ce 0.1653 0.8347 0.5000  6 As 2.97-2.99
As 0.2565 0.2565 0.7589  2 U 2.90, 1 Pu 2.93, 3 Ce 2.96-2.98
U 0.3330 0.6670 0.0000  6 As 2.90
U 0.6670 0.3330 0.0000  6 As 2.90
As 0.0809 0.4176 0.2422  2 U 2.90, 1 Pu 2.93, 3 Ce 2.97-2.99
Ce 0.8347 0.1653 0.5000  6 As 2.97-2.99
As 0.5824 0.9191 0.7578  2 U 2.90, 1 Pu 2.93, 3 Ce 2.97-2.99
Ce 0.5000 0.5000 0.5000  6 As 2.96-2.98
As 0.9191 0.5824 0.7578  2 U 2.90, 1 Pu 2.93, 3 Ce 2.97-2.99
Pu 0.0000 0.0000 0.0000  6 As 2.93
As 0.7435 0.7435 0.2411  2 U 2.90, 1 Pu 2.93, 3 Ce 2.96-2.98


A plane-wave DFT calculation with PBE was carried out for a relaxed Ce3PuU3As8 crystal.

## Properties
magnetic moment: 13.2 μB/cell
electronic total energy: -7.78 eV/atom
ΔH_f (0 K): -0.90 eV per atom

Cell lengths 8.1833, 8.1842, 8.3387 Å; angles 119.38, 90.00, 120.00 degrees
Closest atoms and distances in Å follow each position.
Element x y z (fractional)
As 0.2504 0.9904 0.7408  2 U 2.86, 1 Pu 2.92, 2 Ce 2.98
As 0.7496 0.4992 0.2592  2 U 2.86, 1 Pu 2.92, 2 Ce 2.98
As 0.7496 0.0096 0.2592  2 U 2.86, 1 Pu 2.92, 2 Ce 2.98
As 0.2599 0.0096 0.2592  2 U 2.86, 1 Pu 2.92, 2 Ce 2.98
As 0.2504 0.5008 0.7408  2 U 2.86, 1 Pu 2.92, 2 Ce 2.98
Ce 0.0000 0.0000 0.0000  6 As 2.96-2.98
Pu 0.0000 0.0000 0.5000  6 As 2.92
U 0.5000 0.0000 0.5000  6 As 2.86-2.89
U 0.0000 0.5000 0.5000  6 As 2.86-2.89
Ce 0.5000 0.5000 0.0000  6 As 2.96-2.98
As 0.2528 0.5056 0.2584  3 U 2.89, 3 Ce 2.96
Ce 0.0000 0.5000 0.0000  6 As 2.96-2.98
U 0.5000 0.5000 0.5000  6 As 2.86-2.89
As 0.7401 0.9904 0.7408  2 U 2.86, 1 Pu 2.92, 2 Ce 2.98
As 0.7472 0.4944 0.7416  3 U 2.89, 3 Ce 2.96


A plane-wave DFT calculation with PBE was carried out for a relaxed Ce2PuU3As6 crystal.

## Properties
magnetic moment: 2.5 μB/cell
electronic total energy: -8.33 eV/atom
ΔH_f (0 K): -1.00 eV per atom

Cell lengths 7.0996, 7.0996, 7.2783 Å; angles 99.36, 99.36, 120.01 degrees
Closest atoms and distances in Å follow each position.
Element x y z (fractional)
Ce 0.6665 0.3335 0.0000  6 As 2.96
As 0.2458 0.2458 0.7418  3 U 2.89-2.90, 1 Pu 2.95, 2 Ce 2.96
Ce 0.3335 0.6665 0.0000  6 As 2.96
U 0.1673 0.8327 0.5000  6 As 2.89-2.90
As 0.9144 0.5826 0.7430  3 U 2.89-2.90, 1 Pu 2.95, 2 Ce 2.96
As 0.7542 0.7542 0.2582  3 U 2.89-2.90, 1 Pu 2.95, 2 Ce 2.96
U 0.5000 0.5000 0.5000  6 As 2.89-2.90
U 0.8327 0.1673 0.5000  6 As 2.89-2.90
As 0.5826 0.9144 0.7430  3 U 2.89-2.90, 1 Pu 2.95, 2 Ce 2.96
As 0.0856 0.4174 0.2570  3 U 2.89-2.90, 1 Pu 2.95, 2 Ce 2.96
As 0.4174 0.0856 0.2570  3 U 2.89-2.90, 1 Pu 2.95, 2 Ce 2.96
Pu 0.0000 0.0000 0.0000  6 As 2.95


A plane-wave DFT calculation with PBE was carried out for a relaxed CePu2UAs4 crystal.

## Properties
magnetic moment: 2.3 μB/cell
electronic total energy: -9.09 eV/atom
ΔH_f (0 K): -1.03 eV per atom

Cell lengths 4.1312, 7.2382, 7.1329 Å; angles 109.36, 90.00, 90.00 degrees
Closest atoms and distances in Å follow each position.
Element x y z (fractional)
As 0.0000 0.7450 0.2469  2 U 2.91, 3 Pu 2.92-2.95, 1 Ce 2.94
Pu 0.5000 0.0000 0.5000  6 As 2.95-2.97
Pu 0.0000 0.5000 0.5000  6 As 2.91-2.92
U 0.5000 0.5000 0.0000  6 As 2.89-2.91
As 0.5000 0.2557 0.2492  1 U 2.89, 3 Pu 2.91-2.97, 2 Ce 2.94
Ce 0.0000 0.0000 0.0000  6 As 2.94
As 0.0000 0.2550 0.7531  2 U 2.91, 3 Pu 2.92-2.95, 1 Ce 2.94
As 0.5000 0.7443 0.7508  1 U 2.89, 3 Pu 2.91-2.97, 2 Ce 2.94